*P*
Below is crystalline Ca2YPt at its relaxed geometry, with properties calculated at the GGA-PBEsol level.

Lattice parameters (Å, degrees): 3.5471 3.5471 9.2060 90.00 90.00 90.00
Space group P4mm (No. 99)
Asymmetric unit:
Ca 0.0000 0.0000 0.0000
Ca 0.5000 0.5000 0.3346
Y 0.5000 0.5000 0.6860
Pt 0.0000 0.0000 0.5328

Results
- theoretical density (g cm⁻³) = 5.220
- M_tot (μB per cell) = 0.0
- Fermi-level density of states (states/eV per cell) = 2.55



*Q*
Below is crystalline Ca2YPt at its relaxed geometry, with properties calculated at the GGA-PBEsol level.

Lattice parameters (Å, degrees): 3.4772 4.6744 14.7015 90.00 90.00 90.00
Space group Immm (No. 71)
Asymmetric unit:
Ca 0.0000 0.0000 0.1665
Y 0.0000 0.5000 0.0000
Pt 0.0000 0.5000 0.5000

Results
- theoretical density (g cm⁻³) = 5.061
- M_tot (μB per cell) = 0.0
- Fermi-level density of states (states/eV per cell) = 7.35



Energies relative to the most stable structure are *P* 0.000; *Q* 0.083, reported in eV/atom.